LaTaPt | Alexandria | PBE | relaxed; energy of formation = 0.0097 eV per atom; symmetry = P3m1
1.0
3.506 0.000 0.000
-1.753 3.036 0.000
0.000 0.000 6.703
La Ta Pt
1 1 1
direct
0.000 0.000 0.000
0.333 0.667 0.606
0.667 0.333 0.361